## AcCe2ReN5 (PBE-GGA)

Data for a geometry-optimized AcCe2ReN5 structure.

Density ... 9.4 Mg/m³
Magnetic moment ... 0.0 μB/f.u.
Symmetry ... I4/mcm (140)
Uncorrected formation energy ... -1.104 eV per atom

Cell: 6.8261 6.8261 7.5427 Å, 116.90 116.90 90.00°
Last column: nearest neighbours and their distance in Å.
Fractional coordinates of all 18 atoms:
Ac 0.2500 0.2500 0.5000  10 N 2.90
Ac 0.7500 0.7500 0.5000  10 N 2.90
Ce 0.1773 0.3227 0.0000  4 N 2.37-2.51
Ce 0.6773 0.1773 0.0000  4 N 2.37-2.51
Ce 0.3227 0.8227 0.0000  4 N 2.37-2.51
Ce 0.8227 0.6773 0.0000  4 N 2.37-2.51
Re 0.2500 0.7500 0.5000  4 N 1.89
Re 0.7500 0.2500 0.5000  4 N 1.89
N 0.9954 0.4954 0.2826  1 Re 1.89
N 0.7128 0.2128 0.7174  1 Re 1.89
N 0.0046 0.5046 0.7174  1 Re 1.89
N 0.2128 0.0046 0.7174  1 Re 1.89
N 0.5046 0.7128 0.7174  1 Re 1.89
N 0.7872 0.9954 0.2826  1 Re 1.89
N 0.4954 0.2872 0.2826  1 Re 1.89
N 0.2872 0.7872 0.2826  1 Re 1.89
N 0.5000 0.5000 0.0000  4 Ce 2.51
N 0.0000 0.0000 0.0000  4 Ce 2.51